# 1
Below is a relaxed Lu2ZrIr crystal, with properties calculated at the PBE level.

Results
E_form = -0.4363 eV per atom

Cell lengths 3.387, 3.387, 7.903 Å; angles 90.00, 90.00, 90.00 degrees
Space group P4/mmm (No. 123)
Symmetry-distinct sites (fractional):
Lu (0.000, 0.000, 0.205)
Zr (0.500, 0.500, 0.500)
Ir (0.500, 0.500, 0.000)

# 2
Below is a relaxed Al2TeAs crystal, with properties calculated at the PBE level.

Results
Formation energy from raw total energies = 0.202 eV per atom
Excess energy over the best structure of this formula in the dataset = 174 kJ/mol of formula units

Cell lengths 6.910, 6.910, 6.910 Å; angles 90.00, 90.00, 90.00 degrees
Space group Fm-3m (No. 225)
Symmetry-distinct sites (fractional):
Al (0.250, 0.250, 0.250)
Te (0.000, 0.000, 0.000)
As (0.000, 0.000, 0.500)